A plane-wave DFT calculation with GGA-PBE was carried out for a relaxed structure of Dy8ErSc3.

Results
DFT total energy = -59.86 eV/cell
DOS(E_F) = 17.9 states/eV per cell
formation enthalpy at 0 K = 50 kJ/mol of formula units
mass density = 7.52 g cm⁻³

a = 5.9983 Å, b = 7.7528 Å, c = 8.5030 Å
α = 111.40°, β = 90.04°, γ = 104.93°
Last column: nearest neighbours and their distance in Å.
Fractional positions:
Dy 0.0000 0.0000 0.0000  4 Sc 3.41-3.48, 7 Dy 3.42-3.52, 1 Er 3.49
Dy 0.0791 0.7502 0.5817  2 Sc 3.42-3.45, 2 Er 3.44-3.49, 8 Dy 3.44-3.53
Dy 0.1614 0.4934 0.1629  8 Dy 3.42-3.50, 4 Sc 3.44-3.50
Dy 0.4115 0.7478 0.9183  3 Sc 3.44-3.50, 8 Dy 3.45-3.51, 1 Er 3.48
Dy 0.4923 0.4886 0.4973  3 Sc 3.41-3.45, 8 Dy 3.45-3.51, 1 Er 3.55
Dy 0.7453 0.7451 0.2496  8 Dy 3.44-3.50, 3 Sc 3.47-3.48, 1 Er 3.50
Dy 0.8253 0.4918 0.8331  1 Er 3.41, 3 Sc 3.44-3.48, 8 Dy 3.45-3.53
Dy 0.9102 0.2418 0.4144  4 Sc 3.44-3.47, 7 Dy 3.44-3.53, 1 Er 3.46
Er 0.6581 0.0003 0.6684  4 Sc 3.40-3.48, 8 Dy 3.41-3.55
Sc 0.2461 0.2433 0.7480  2 Er 3.40-3.48, 8 Dy 3.42-3.50, 2 Sc 3.45-3.46
Sc 0.3295 0.9976 0.3330  9 Dy 3.41-3.50, 2 Sc 3.44-3.45, 1 Er 3.46
Sc 0.5744 0.2440 0.0826  9 Dy 3.41-3.48, 1 Er 3.44, 2 Sc 3.44-3.46

A plane-wave DFT calculation with GGA-PBE was carried out for a relaxed structure of Pm2Si4Pt3Au.

Results
DFT total energy = -62.68 eV/cell
DOS(E_F) = 4.4 states/eV per cell
formation energy without anion corrections = -1009 meV/atom
mass density = 10.82 g cm⁻³

a = 4.2839 Å, b = 4.2839 Å, c = 9.9035 Å
α = 90.00°, β = 90.00°, γ = 90.00°
Last column: nearest neighbours and their distance in Å.
Fractional positions:
Pm 0.0000 0.5000 0.2447  8 Si 3.23-3.24, 7 Pt 3.28-3.59, 2 Au 3.31
Pm 0.5000 0.0000 0.7553  8 Si 3.23-3.24, 7 Pt 3.28-3.59, 2 Au 3.31
Si 0.0000 0.0000 0.0000  4 Pt 2.44
Si 0.0000 0.5000 0.6388  3 Pt 2.41-2.55, 2 Au 2.55
Si 0.5000 0.0000 0.3612  3 Pt 2.41-2.55, 2 Au 2.55
Si 0.5000 0.5000 0.0000  4 Pt 2.44
Pt 0.0000 0.5000 0.8821  5 Si 2.41-2.44
Pt 0.5000 0.0000 0.1179  5 Si 2.41-2.44
Pt 0.5000 0.5000 0.5000  4 Si 2.55
Au 0.0000 0.0000 0.5000  4 Si 2.55